# BaSc2In, optimized geometry, DFT PBE-GGA
data_BaSc2In
_chemical_formula_sum 'Ba4 Sc8 In4'
_space_group_name_H-M_alt 'F -4 3 m'
_space_group_IT_number 216
_space_group_name_Hall 'F -4 2 3'
_cell_length_a 7.797
_cell_length_b 7.797
_cell_length_c 7.797
_cell_angle_alpha 90.00
_cell_angle_beta 90.00
_cell_angle_gamma 90.00
loop_
_atom_site_label
_atom_site_type_symbol
_atom_site_fract_x
_atom_site_fract_y
_atom_site_fract_z
Ba1 Ba 0.000 0.000 0.000
Sc1 Sc 0.000 0.000 0.500
Sc2 Sc 0.250 0.250 0.750
In1 In 0.250 0.250 0.250
# - VASP energy (eV for the cell shown) = -67.74
# - energy relative to the elements (eV per atom) = 0.097
# - total magnetization (μB/atom) = 0.237